Computed, not measured: a relaxed structure of SmEu2Ho at the PBE level of DFT.

Results
final energy: -7.229 eV/atom
calculated volume: 36.10 Å³ per atom
mass density: 7.12 g/cm3
energy relative to the lowest polymorph listed for this composition: 120 meV per atom

Unit cell a=3.587 b=3.587 c=13.127 alpha=82.15 beta=82.15 gamma=60.00
Last column: magnetic moment on the atom in μB.
Sites, in units of the cell vectors:
Eu1 0.086 0.086 0.741  7.02
Eu2 0.914 0.914 0.259  7.02
Ho1 0.000 0.000 0.000  0.24
Sm1 0.500 0.500 0.500  0.03


Computed, not measured: a relaxed structure of Sc2InBr at the PBE level of DFT.

Results
final energy: -4.714 eV/atom
raw formation energy: -445.5 meV/atom
calculated volume: 23.22 Å³ per atom
mass density: 5.09 g/cm3
energy relative to the lowest polymorph listed for this composition: 165 meV per atom

Unit cell a=5.347 b=5.347 c=3.287 alpha=84.00 beta=84.00 gamma=91.40
Last column: magnetic moment on the atom in μB.
Sites, in units of the cell vectors:
Br1 0.500 0.000 0.500  0.00
In1 0.000 0.500 0.500  0.00
Sc1 0.000 0.000 0.000  0.34
Sc2 0.500 0.500 0.000  0.34